1.
A relaxed ZnP4O11 crystal, computed with PBE.

POSCAR file:
```
ZnP4O11
1.0
9.344 0.000 0.000
-0.103 9.401 0.000
-3.453 -3.630 9.648
Zn P O
4 16 44
Direct
0.231 0.268 0.004
0.253 0.780 0.519
0.747 0.220 0.481
0.769 0.732 0.996
0.094 0.902 0.257
0.095 0.446 0.255
0.097 0.225 0.409
0.233 0.577 0.887
0.265 0.914 0.061
0.412 0.110 0.783
0.432 0.253 0.576
0.437 0.591 0.728
0.563 0.409 0.272
0.568 0.747 0.424
0.588 0.890 0.217
0.735 0.086 0.939
0.767 0.423 0.113
0.903 0.775 0.591
0.905 0.554 0.745
0.906 0.098 0.743
0.029 0.762 0.538
0.058 0.190 0.816
0.082 0.083 0.275
0.083 0.533 0.755
0.090 0.338 0.118
0.140 0.362 0.370
0.188 0.859 0.149
0.190 0.596 0.327
0.196 0.904 0.394
0.199 0.031 0.007
0.237 0.512 0.994
0.251 0.226 0.529
0.260 0.759 0.939
0.294 0.981 0.685
0.315 0.645 0.634
0.361 0.529 0.822
0.384 0.231 0.899
0.416 0.313 0.183
0.438 0.963 0.153
0.476 0.430 0.638
0.483 0.197 0.703
0.500 0.184 0.469
0.500 0.816 0.531
0.517 0.803 0.297
0.524 0.570 0.362
0.562 0.037 0.847
0.584 0.687 0.817
0.616 0.769 0.101
0.639 0.471 0.178
0.685 0.355 0.366
0.706 0.019 0.315
0.740 0.241 0.061
0.749 0.774 0.471
0.763 0.488 0.006
0.801 0.969 0.993
0.804 0.096 0.606
0.810 0.404 0.673
0.812 0.141 0.851
0.860 0.638 0.630
0.910 0.662 0.882
0.917 0.467 0.245
0.918 0.917 0.725
0.942 0.810 0.184
0.971 0.238 0.462
```

space group	P-1 (2)
formation energy (no corrections)	-3076.8	kJ/mol of formula units
polymorph energy (0 for the lowest one)	0.004	eV per atom
total moment	0.0	μB/cell

2.
A relaxed TbYIn2Se4 crystal, computed with PBE.

POSCAR file:
```
TbYIn2Se4
1.0
7.203 0.000 0.000
0.000 4.161 0.000
-2.402 0.000 7.738
Tb Y In Se
1 1 2 4
Direct
0.000 0.000 0.000
0.500 0.500 0.000
0.000 0.500 0.500
0.500 0.000 0.500
0.237 0.500 0.209
0.264 0.000 0.791
0.736 0.000 0.209
0.763 0.500 0.791
```

space group	P2/m (10)
formation energy (no corrections)	-1008.7	kJ/mol of formula units
total moment	0.0	μB/cell

3.
A relaxed UNbPbO6 crystal, computed with PBE.

POSCAR file:
```
UNbPbO6
1.0
5.655 0.000 0.000
-2.828 4.897 0.000
0.000 0.000 10.501
U Nb Pb O
2 2 2 12
Direct
0.333 0.667 0.250
0.667 0.333 0.750
0.333 0.667 0.750
0.667 0.333 0.250
0.000 0.000 0.000
0.000 0.000 0.500
0.017 0.382 0.646
0.017 0.635 0.854
0.365 0.382 0.854
0.365 0.983 0.646
0.382 0.017 0.146
0.382 0.365 0.354
0.618 0.635 0.646
0.618 0.983 0.854
0.635 0.017 0.354
0.635 0.618 0.146
0.983 0.365 0.146
0.983 0.618 0.354
```

space group	P-31c (163)
formation energy (no corrections)	-2189.9	kJ/mol of formula units
total moment	2.0	μB/cell

4.
A relaxed MnMo2Cl crystal, computed with PBE.

POSCAR file:
```
MnMo2Cl
1.0
2.700 -4.233 0.000
2.700 4.233 0.000
-0.992 0.000 2.662
Mn Mo Cl
1 2 1
Direct
0.000 0.000 0.000
0.000 0.500 0.500
0.500 0.000 0.500
0.500 0.500 0.000
```

space group	C2/m (12)
formation energy (no corrections)	270.3	kJ/mol of formula units
polymorph energy (0 for the lowest one)	0.529	eV per atom
total moment	1.9	μB/cell

5.
A relaxed Er3CoPd2 crystal, computed with PBE.

POSCAR file:
```
Er3CoPd2
1.0
2.424 -7.258 0.000
2.424 7.258 0.000
0.000 0.000 6.818
Er Co Pd
6 2 4
Direct
0.000 0.000 0.243
0.000 0.000 0.757
0.330 0.670 0.240
0.330 0.670 0.760
0.670 0.330 0.240
0.670 0.330 0.760
0.167 0.833 0.000
0.833 0.167 0.000
0.165 0.835 0.500
0.500 0.500 0.000
0.500 0.500 0.500
0.835 0.165 0.500
```

space group	Cmmm (65)
E_tot	-70.51	eV for the cell shown
total moment	0.0	μB/cell

6.
A relaxed SmYScTl crystal, computed with PBE.

POSCAR file:
```
SmYScTl
1.0
0.000 3.827 3.827
3.827 0.000 3.827
3.827 3.827 0.000
Sm Y Sc Tl
1 1 1 1
Direct
0.000 0.000 0.000
0.500 0.500 0.500
0.250 0.250 0.250
0.750 0.750 0.750
```

space group	F-43m (216)
polymorph energy (0 for the lowest one)	0.101	eV per atom
total moment	1.4	μB/cell

7.
A relaxed KSrAc2Te4 crystal, computed with PBE.

POSCAR file:
```
KSrAc2Te4
1.0
8.279 0.000 0.000
0.000 4.764 0.000
-2.727 0.000 7.922
K Sr Ac Te
1 1 2 4
Direct
0.000 0.000 0.000
0.500 0.500 0.000
0.000 0.500 0.500
0.500 0.000 0.500
0.253 0.000 0.747
0.258 0.500 0.260
0.742 0.500 0.740
0.747 0.000 0.253
```

space group	P2/m (10)
formation energy (no corrections)	-1184.2	kJ/mol of formula units
total moment	0.0	μB/cell

8.
A relaxed Cs3LiSb crystal, computed with PBE.

POSCAR file:
```
Cs3LiSb
1.0
7.472 0.000 0.000
0.000 7.472 0.000
0.000 0.000 7.472
Cs Li Sb
3 1 1
Direct
0.000 0.000 0.500
0.000 0.500 0.000
0.500 0.000 0.000
0.500 0.500 0.500
0.000 0.000 0.000
```

space group	Pm-3m (221)
formation energy (no corrections)	9.0	kJ/mol of formula units
polymorph energy (0 for the lowest one)	0.000	eV per atom
total moment	1.0	μB/cell

9.
A relaxed BaCaMg crystal, computed with PBE.

POSCAR file:
```
BaCaMg
1.0
4.027 0.000 0.000
-2.014 3.488 0.000
0.000 0.000 9.036
Ba Ca Mg
1 1 1
Direct
0.000 0.000 0.000
0.667 0.333 0.392
0.333 0.667 0.676
```

space group	P3m1 (156)
polymorph energy (0 for the lowest one)	0.127	eV per atom
total moment	0.0	μB/cell

10.
A relaxed Rb3Tb3ErS8 crystal, computed with PBE.

POSCAR file:
```
Rb3Tb3ErS8
1.0
7.003 -4.041 0.000
7.003 4.041 0.000
-4.675 0.000 7.830
Rb Tb Er S
3 3 1 8
Direct
0.000 0.000 0.000
0.000 0.500 0.000
0.500 0.000 0.000
0.000 0.500 0.500
0.500 0.000 0.500
0.500 0.500 0.500
0.000 0.000 0.500
0.227 0.227 0.687
0.227 0.733 0.687
0.267 0.773 0.313
0.269 0.269 0.308
0.731 0.731 0.692
0.733 0.227 0.687
0.773 0.267 0.313
0.773 0.773 0.313
```

space group	C2/m (12)
formation energy (no corrections)	-2568.2	kJ/mol of formula units
total moment	0.0	μB/cell

11.
A relaxed TbPm5Mg4 crystal, computed with PBE.

POSCAR file:
```
TbPm5Mg4
1.0
3.809 0.000 0.000
0.000 3.809 0.000
0.000 0.000 20.541
Tb Pm Mg
1 5 4
Direct
0.000 0.000 0.000
0.500 0.500 0.117
0.500 0.500 0.309
0.500 0.500 0.500
0.500 0.500 0.691
0.500 0.500 0.883
0.000 0.000 0.213
0.000 0.000 0.404
0.000 0.000 0.596
0.000 0.000 0.787
```

space group	P4/mmm (123)
E_tot	-35.51	eV for the cell shown
total moment	0.0	μB/cell